# 1
First-principles (PBE-GGA) data for a relaxed structure of Si3Au, as listed in Alexandria.

ΔE to the lowest computed polymorph = 5.60 kcal/mol of atoms
density = 7.10 g/cm3
DFT total energy = -4.38 eV per atom

a b c (Å): 5.6328 5.6328 9.5711
angles (deg): 90.00 90.00 120.00
Positions (direct):
Si1 0.0000 0.5000 0.0000
Si2 0.0000 0.5000 0.5000
Si3 0.1757 0.3514 0.2500
Si4 0.1757 0.8243 0.2500
Si5 0.3514 0.1757 0.7500
Si6 0.5000 0.0000 0.0000
Si7 0.5000 0.0000 0.5000
Si8 0.5000 0.5000 0.0000
Si9 0.5000 0.5000 0.5000
Si10 0.6486 0.8243 0.2500
Si11 0.8243 0.1757 0.7500
Si12 0.8243 0.6486 0.7500
Au1 0.0000 0.0000 0.0000
Au2 0.0000 0.0000 0.5000
Au3 0.3333 0.6667 0.7500
Au4 0.6667 0.3333 0.2500

# 2
First-principles (PBE-GGA) data for a relaxed structure of Si3Au, as listed in Alexandria.

ΔE to the lowest computed polymorph = 26.52 kcal/mol of atoms
density = 3.86 g/cm3
DFT total energy = -3.48 eV per atom

a b c (Å): 4.9438 4.9438 4.9438
angles (deg): 90.00 90.00 90.00
Positions (direct):
Si1 0.0000 0.0000 0.5000
Si2 0.0000 0.5000 0.0000
Si3 0.5000 0.0000 0.0000
Au1 0.0000 0.0000 0.0000

# 3
First-principles (PBE-GGA) data for a relaxed structure of SiAu7, as listed in Alexandria.

density = 16.42 g/cm3
DFT total energy = -3.44 eV per atom

a b c (Å): 5.8594 5.8594 5.8594
angles (deg): 60.00 60.00 60.00
Positions (direct):
Si1 0.0000 0.0000 0.0000
Au1 0.0000 0.0000 0.5000
Au2 0.0000 0.5000 0.0000
Au3 0.0000 0.5000 0.5000
Au4 0.5000 0.0000 0.0000
Au5 0.5000 0.0000 0.5000
Au6 0.5000 0.5000 0.0000
Au7 0.5000 0.5000 0.5000

# 4
First-principles (PBE-GGA) data for a relaxed structure of Si4Au, as listed in Alexandria.

density = 5.13 g/cm3
DFT total energy = -4.17 eV per atom

a b c (Å): 5.8516 5.8516 5.8516
angles (deg): 90.00 90.00 90.00
Positions (direct):
Si1 0.2500 0.2500 0.2500
Si2 0.2500 0.2500 0.7500
Si3 0.2500 0.7500 0.2500
Si4 0.2500 0.7500 0.7500
Si5 0.7500 0.2500 0.2500
Si6 0.7500 0.2500 0.7500
Si7 0.7500 0.7500 0.2500
Si8 0.7500 0.7500 0.7500
Au1 0.0000 0.0000 0.0000
Au2 0.5000 0.5000 0.5000

# 5
First-principles (PBE-GGA) data for a relaxed structure of SiAu3, as listed in Alexandria.

density = 14.54 g/cm3
DFT total energy = -3.64 eV per atom

a b c (Å): 6.5631 6.5631 6.5631
angles (deg): 90.00 90.00 90.00
Positions (direct):
Si1 0.0000 0.0000 0.0000
Si2 0.0000 0.5000 0.5000
Si3 0.5000 0.0000 0.5000
Si4 0.5000 0.5000 0.0000
Au1 0.0000 0.0000 0.5000
Au2 0.0000 0.5000 0.0000
Au3 0.2500 0.2500 0.2500
Au4 0.2500 0.2500 0.7500
Au5 0.2500 0.7500 0.2500
Au6 0.2500 0.7500 0.7500
Au7 0.5000 0.0000 0.0000
Au8 0.5000 0.5000 0.5000
Au9 0.7500 0.2500 0.2500
Au10 0.7500 0.2500 0.7500
Au11 0.7500 0.7500 0.2500
Au12 0.7500 0.7500 0.7500

# 6
First-principles (PBE-GGA) data for a relaxed structure of Si3Au, as listed in Alexandria.

ΔE to the lowest computed polymorph = 5.41 kcal/mol of atoms
density = 7.14 g/cm3
DFT total energy = -4.39 eV per atom

a b c (Å): 9.2241 9.2241 2.6626
angles (deg): 90.00 90.00 120.00
Positions (direct):
Si1 0.0000 0.5000 0.0000
Si2 0.1667 0.3333 0.3333
Si3 0.1667 0.8333 0.3333
Si4 0.3333 0.1667 0.6667
Si5 0.5000 0.0000 0.0000
Si6 0.5000 0.5000 0.0000
Si7 0.6667 0.8333 0.3333
Si8 0.8333 0.1667 0.6667
Si9 0.8333 0.6667 0.6667
Au1 0.0000 0.0000 0.0000
Au2 0.3333 0.6667 0.6667
Au3 0.6667 0.3333 0.3333

# 7
First-principles (PBE-GGA) data for a relaxed structure of Si3Au, as listed in Alexandria.

ΔE to the lowest computed polymorph = 4.90 kcal/mol of atoms
density = 7.04 g/cm3
DFT total energy = -4.41 eV per atom

a b c (Å): 2.7268 2.7268 30.8835
angles (deg): 90.00 90.00 120.00
Positions (direct):
Si1 0.0000 0.0000 0.0000
Si2 0.0000 0.0000 0.2489
Si3 0.0000 0.0000 0.7511
Si4 0.3333 0.6667 0.4178
Si5 0.3333 0.6667 0.6667
Si6 0.3333 0.6667 0.9156
Si7 0.6667 0.3333 0.0844
Si8 0.6667 0.3333 0.3333
Si9 0.6667 0.3333 0.5822
Au1 0.0000 0.0000 0.5000
Au2 0.3333 0.6667 0.1667
Au3 0.6667 0.3333 0.8333

# 8
First-principles (PBE-GGA) data for a relaxed structure of SiAu2, as listed in Alexandria.

density = 12.34 g/cm3
DFT total energy = -3.97 eV per atom

a b c (Å): 2.9437 12.2813 6.2825
angles (deg): 90.00 90.00 90.00
Positions (direct):
Si1 0.0000 0.1152 0.0000
Si2 0.0000 0.8848 0.5000
Si3 0.5000 0.3848 0.5000
Si4 0.5000 0.6152 0.0000
Au1 0.0000 0.2401 0.6734
Au2 0.0000 0.4762 0.1820
Au3 0.0000 0.5238 0.6820
Au4 0.0000 0.7599 0.1734
Au5 0.5000 0.0238 0.6820
Au6 0.5000 0.2599 0.1734
Au7 0.5000 0.7401 0.6734
Au8 0.5000 0.9762 0.1820

What did the seventh record say?
First-principles (PBE-GGA) data for a relaxed structure of Si3Au, as listed in Alexandria.

ΔE to the lowest computed polymorph = 4.90 kcal/mol of atoms
density = 7.04 g/cm3
DFT total energy = -4.41 eV per atom

a b c (Å): 2.7268 2.7268 30.8835
angles (deg): 90.00 90.00 120.00
Positions (direct):
Si1 0.0000 0.0000 0.0000
Si2 0.0000 0.0000 0.2489
Si3 0.0000 0.0000 0.7511
Si4 0.3333 0.6667 0.4178
Si5 0.3333 0.6667 0.6667
Si6 0.3333 0.6667 0.9156
Si7 0.6667 0.3333 0.0844
Si8 0.6667 0.3333 0.3333
Si9 0.6667 0.3333 0.5822
Au1 0.0000 0.0000 0.5000
Au2 0.3333 0.6667 0.1667
Au3 0.6667 0.3333 0.8333

Question: Which value of density does entry 8 give?
Answer: 12.34 g/cm3

Question: Among the records above, which one has the lowest density?
Answer: number 2

Question: The lowest density belongs to which entry?
Answer: number 2